1.
## NaAs3Pt (SCAN)

Data for a PBEsol-optimized structure of NaAs3Pt.

Values from the calculation:
DFT formation energy: 0.276 eV per atom

abc: 4.9508 4.9508 4.9508
angles: 90.00 90.00 90.00
Space group Pm-3m (No. 221)
Symmetry-distinct sites (fractional):
Na: 0.0000 0.0000 0.0000 x1
As: 0.0000 0.5000 0.5000 x3
Pt: 0.5000 0.5000 0.5000 x1

---

2.
## NaAs2PtSe (SCAN)

Data for a PBEsol-optimized structure of NaAs2PtSe.

Values from the calculation:
Raw formation energy: 1.4237 eV per atom

abc: 4.7750 4.7750 4.7770
angles: 90.00 90.00 90.00
Space group P4/mmm (No. 123)
Symmetry-distinct sites (fractional):
Na: 0.0000 0.0000 0.0000 x1
As: 0.0000 0.5000 0.0000 x2
Pt: 0.5000 0.5000 0.5000 x1
Se: 0.0000 0.0000 0.5000 x1

---

3.
## RbNa2As2 (SCAN)

Data for a PBEsol-optimized structure of RbNa2As2.

Values from the calculation:
DFT formation energy: -0.462 eV per atom

abc: 4.9419 4.9419 11.5688
angles: 90.00 90.00 90.00
Space group I4/mmm (No. 139)
Symmetry-distinct sites (fractional):
Rb: 0.0000 0.0000 0.0000 x2
Na: 0.0000 0.5000 0.2500 x4
As: 0.0000 0.0000 0.3969 x4

---

4.
## RbNaAsSe2 (SCAN)

Data for a PBEsol-optimized structure of RbNaAsSe2.

Values from the calculation:
Raw formation energy: 0.6237 eV per atom

abc: 5.9190 5.9190 6.0951
angles: 90.00 90.00 90.00
Space group P4/mmm (No. 123)
Symmetry-distinct sites (fractional):
Rb: 0.0000 0.0000 0.0000 x1
Na: 0.5000 0.5000 0.5000 x1
As: 0.0000 0.0000 0.5000 x1
Se: 0.0000 0.5000 0.0000 x2